Entry from the Alexandria database: a relaxed KLa2Hf crystal (GGA-PBE).

Lattice parameters (Å, degrees): 8.956 8.956 7.254 51.88 51.88 90.00
Sites, in units of the cell vectors:
K (0.500, 0.500, 0.000)
K (0.250, 0.750, 0.500)
Hf (0.000, 0.000, 0.000)
Hf (0.750, 0.250, 0.500)
La (0.656, 0.125, 0.250)
La (0.094, 0.625, 0.250)
La (0.375, 0.344, 0.750)
La (0.875, 0.906, 0.750)

Summary:
**ΔH_f (0 K)**: 0.9081 eV per atom

=====

Entry from the Alexandria database: a relaxed K3LaHf crystal (GGA-PBE).

Lattice parameters (Å, degrees): 6.749 6.749 6.749 90.00 90.00 90.00
Last column: magnetic moment on the atom in μB.
Sites, in units of the cell vectors:
K (0.000, 0.500, 0.000)  0.06
K (0.000, 0.000, 0.500)  0.06
K (0.500, 0.000, 0.000)  0.05
Hf (0.500, 0.500, 0.500)  1.31
La (0.000, 0.000, 0.000)  1.02

Summary:
**ΔH_f (0 K)**: 1.7980 eV per atom

=====

Entry from the Alexandria database: a relaxed KLa2Hf crystal (GGA-PBE).

Lattice parameters (Å, degrees): 5.783 5.783 5.783 60.00 60.00 60.00
Last column: magnetic moment on the atom in μB.
Sites, in units of the cell vectors:
K (0.000, 0.000, 0.000)  0.01
Hf (0.500, 0.500, 0.500)  0.60
La (0.250, 0.250, 0.250)  0.20
La (0.750, 0.750, 0.750)  0.20

Summary:
**ΔH_f (0 K)**: 0.6910 eV per atom

=====

Entry from the Alexandria database: a relaxed K2LaHf2 crystal (GGA-PBE).

Lattice parameters (Å, degrees): 10.730 10.730 3.159 90.00 90.00 90.00
Last column: magnetic moment on the atom in μB.
Sites, in units of the cell vectors:
K (0.200, 0.700, 0.500)  0.00
K (0.700, 0.800, 0.500)  0.00
K (0.800, 0.300, 0.500)  0.00
K (0.300, 0.200, 0.500)  0.00
Hf (0.410, 0.910, 0.000)  0.16
Hf (0.910, 0.590, 0.000)  0.15
Hf (0.590, 0.090, 0.000)  0.16
Hf (0.090, 0.410, 0.000)  0.15
La (0.000, 0.000, 0.000)  0.01
La (0.500, 0.500, 0.000)  0.01

Summary:
**ΔH_f (0 K)**: 1.1773 eV per atom

=====

Entry from the Alexandria database: a relaxed K2NaLaHf crystal (GGA-PBE).

Lattice parameters (Å, degrees): 5.656 6.407 5.656 90.00 90.00 90.00
Last column: magnetic moment on the atom in μB.
Sites, in units of the cell vectors:
Na (0.000, 0.000, 0.000)  0.04
K (0.000, 0.000, 0.500)  0.02
K (0.500, 0.000, 0.000)  0.02
Hf (0.000, 0.500, 0.000)  1.17
La (0.500, 0.500, 0.500)  0.38

Summary:
**ΔH_f (0 K)**: 1.1503 eV per atom

=====

Entry from the Alexandria database: a relaxed KNa2LaHf crystal (GGA-PBE).

Lattice parameters (Å, degrees): 5.850 6.000 5.850 90.00 90.00 90.00
Last column: magnetic moment on the atom in μB.
Sites, in units of the cell vectors:
Na (0.000, 0.000, 0.500)  -0.01
Na (0.500, 0.000, 0.000)  0.00
K (0.000, 0.500, 0.000)  0.03
Hf (0.500, 0.500, 0.500)  0.87
La (0.000, 0.000, 0.000)  0.22

Summary:
**ΔH_f (0 K)**: 1.7501 eV per atom

=====

Entry from the Alexandria database: a relaxed KLaHfNi2 crystal (GGA-PBE).

Lattice parameters (Å, degrees): 4.860 4.977 4.860 90.00 90.00 90.00
Sites, in units of the cell vectors:
Ni (0.000, 0.000, 0.500)
Ni (0.500, 0.000, 0.000)
K (0.000, 0.000, 0.000)
Hf (0.000, 0.500, 0.000)
La (0.500, 0.500, 0.500)

Summary:
**ΔH_f (0 K)**: 1.5358 eV per atom

=====

Entry from the Alexandria database: a relaxed KLaHf4O12 crystal (GGA-PBE).

Lattice parameters (Å, degrees): 5.801 5.801 8.265 90.00 90.00 89.91
Last column: magnetic moment on the atom in μB.
Sites, in units of the cell vectors:
K (0.009, 0.009, 0.000)  0.00
La (0.491, 0.491, 0.500)  -0.03
Hf (0.997, 0.504, 0.756)  -0.06
Hf (0.997, 0.504, 0.244)  -0.06
Hf (0.504, 0.997, 0.244)  -0.06
Hf (0.504, 0.997, 0.756)  -0.06
O (0.738, 0.262, 0.723)  0.28
O (0.262, 0.738, 0.723)  0.28
O (0.262, 0.738, 0.277)  0.28
O (0.738, 0.262, 0.277)  0.28
O (0.251, 0.251, 0.752)  0.36
O (0.735, 0.735, 0.704)  0.22
O (0.735, 0.735, 0.296)  0.22
O (0.251, 0.251, 0.248)  0.36
O (0.988, 0.519, 0.000)  0.15
O (0.052, 0.478, 0.500)  0.49
O (0.519, 0.988, 0.000)  0.15
O (0.478, 0.052, 0.500)  0.49

Summary:
**Formation energy from raw total energies**: -2.76 eV per atom

=====

One value per record, in order, for size of the total moment: 0.000 1.208 0.462 0.089 0.704 0.446 0.000 0.225 μB per atom.
One value per record, in order, for total energy: -4.3184 -1.8366 -4.5355 -4.2286 -2.5287 -1.9732 -3.9724 -8.6155 eV per atom.